# Ho2H2SeI | the Alexandria database | PBE | relaxed
data_Ho2H2SeI
_cell_length_a 3.827
_cell_length_b 3.827
_cell_length_c 8.798
_cell_angle_alpha 90.00
_cell_angle_beta 90.00
_cell_angle_gamma 120.00
_symmetry_space_group_name_H-M 'P 1'
_symmetry_Int_Tables_number 1
_symmetry_space_group_name_Hall 'P 1'
loop_
_atom_site_label
_atom_site_type_symbol
_atom_site_fract_x
_atom_site_fract_y
_atom_site_fract_z
Ho1 Ho 0.333 0.667 0.210
Ho2 Ho 0.667 0.333 0.790
H1 H 0.333 0.667 0.757
H2 H 0.667 0.333 0.243
Se1 Se 0.000 0.000 0.000
I1 I 0.000 0.000 0.500
# DFT total energy (eV/atom): -4.56
# V (Å³ per atom): 18.60
# Space group: P-3m1